No. 1
12
Lattice="5.785 0.000 0.000 -2.893 5.178 0.480 0.000 -1.093 7.615" Properties=species:S:1:pos:R:3 comment="DyGa4Cu GGA-PBE optimized geometry" e_tot_ev_per_atom=-3.70 formation_enthalpy_0k_ev_per_atom=-0.233 rho_g_cm3=7.254 pbc="T T T"
Dy 0.797 -0.273 1.904
Dy 4.989 -0.819 5.711
Ga -0.898 2.199 1.430
Ga 1.995 2.433 2.858
Ga 3.790 1.886 6.665
Ga 0.898 1.653 5.238
Ga -0.909 4.196 4.993
Ga 1.984 -0.657 6.910
Ga 3.801 -0.111 3.102
Ga 0.909 4.742 1.186
Cu 1.446 2.589 0.240
Cu -1.446 2.043 4.048

No. 2
11
Lattice="-2.581 3.070 -0.218 -5.760 -4.863 -0.294 2.457 2.539 6.666" Properties=species:S:1:pos:R:3 comment="Dy2Ga6Cu3 GGA-PBE optimized geometry" e_tot_ev_per_atom=-4.00 formation_enthalpy_0k_ev_per_atom=-0.397 rho_g_cm3=7.833 pbc="T T T"
Dy -3.021 -2.396 2.026
Dy -0.282 0.071 4.346
Ga -3.556 -0.059 4.261
Ga -0.519 2.333 1.985
Ga -0.645 -0.454 1.244
Ga -4.636 -3.914 -0.237
Ga -3.100 0.007 -0.201
Ga 1.977 2.043 5.365
Cu -2.503 0.682 2.230
Cu -4.936 -1.543 -0.295
Cu 0.264 3.142 4.110

No. 3
6
Lattice="4.381 0.000 0.000 -2.190 3.794 0.000 0.000 0.000 7.215" Properties=species:S:1:pos:R:3 comment="Dy2Ga3Cu GGA-PBE optimized geometry" e_tot_ev_per_atom=-4.33 formation_enthalpy_0k_ev_per_atom=-0.601 rho_g_cm3=8.276 de_polymorph_mev_per_atom=0 pbc="T T T"
Dy 0.000 2.529 5.283
Dy 0.000 2.529 1.886
Ga 2.190 1.265 3.466
Ga 2.190 1.265 0.310
Ga 0.000 0.000 6.865
Cu 0.000 0.000 3.837

No. 4
12
Lattice="5.475 0.175 -1.499 -1.617 5.234 -1.499 -0.125 -0.176 8.384" Properties=species:S:1:pos:R:3 comment="Dy2Ga3Cu GGA-PBE optimized geometry" e_tot_ev_per_atom=-4.33 formation_enthalpy_0k_ev_per_atom=-0.597 rho_g_cm3=8.278 de_polymorph_mev_per_atom=4 pbc="T T T"
Dy 0.094 3.881 2.693
Dy 2.874 4.029 -2.233
Dy 3.639 1.352 2.693
Dy 0.984 1.380 -0.765
Ga 3.248 0.851 5.717
Ga 3.985 1.885 -0.331
Ga 0.485 4.382 -0.331
Ga -0.253 3.348 5.717
Ga 3.124 4.379 3.060
Ga 0.609 0.854 2.326
Cu 1.199 1.682 4.578
Cu 2.533 3.552 0.808

No. 5
4
Lattice="5.027 0.000 0.000 2.513 4.353 0.000 2.513 1.451 4.104" Properties=species:S:1:pos:R:3 comment="GdDyGaCu GGA-PBE optimized geometry" e_tot_ev_per_atom=-6.86 formation_enthalpy_0k_ev_per_atom=-0.408 rho_g_cm3=8.376 pbc="T T T"
Gd 0.000 0.000 0.000
Cu 2.513 1.451 1.026
Ga 7.540 4.353 3.078
Dy 5.027 2.902 2.052

No. 6
10
Lattice="4.155 0.000 0.000 0.000 4.155 0.000 0.000 0.000 10.578" Properties=species:S:1:pos:R:3 comment="Dy2Ga4Cu3Hg GGA-PBE optimized geometry" e_tot_ev_per_atom=-3.78 formation_enthalpy_0k_ev_per_atom=-0.386 rho_g_cm3=9.051 pbc="T T T"
Dy 2.077 0.000 2.535
Dy 0.000 2.077 8.042
Ga 2.077 2.077 0.000
Ga 0.000 0.000 0.000
Ga 2.077 0.000 6.901
Ga 0.000 2.077 3.677
Cu 0.000 0.000 5.289
Cu 2.077 0.000 9.241
Cu 0.000 2.077 1.337
Hg 2.077 2.077 5.289

No. 7
10
Lattice="-0.909 -3.893 -1.115 3.505 -1.329 1.782 -5.106 -1.386 9.008" Properties=species:S:1:pos:R:3 comment="Dy2Ga3Cu4Hg GGA-PBE optimized geometry" e_tot_ev_per_atom=-3.83 formation_enthalpy_0k_ev_per_atom=-0.336 rho_g_cm3=9.126 pbc="T T T"
Dy -1.658 -2.273 1.565
Dy -2.151 -1.724 7.777
Ga -2.553 -0.693 4.504
Ga -4.930 -3.162 7.339
Ga 1.122 -0.835 2.003
Cu 1.298 -2.611 0.334
Cu 0.000 0.000 0.000
Cu -3.778 -2.849 5.305
Cu -0.030 -1.148 4.036
Hg -1.255 -3.304 4.838

No. 8
4
Lattice="4.796 0.000 0.000 2.398 4.153 0.000 2.398 1.384 3.916" Properties=species:S:1:pos:R:3 comment="DyGaCuHg GGA-PBE optimized geometry" e_tot_ev_per_atom=-3.26 formation_enthalpy_0k_ev_per_atom=-0.249 rho_g_cm3=10.568 pbc="T T T"
Cu 4.796 2.769 1.958
Hg 2.398 1.384 0.979
Ga 0.000 0.000 0.000
Dy 7.194 4.153 2.937

No. 9
4
Lattice="-1.023 -4.009 -2.787 2.749 -4.136 0.476 -1.963 -4.071 2.112" Properties=species:S:1:pos:R:3 comment="DyHoGaCu GGA-PBE optimized geometry" e_tot_ev_per_atom=-4.50 formation_enthalpy_0k_ev_per_atom=-0.420 rho_g_cm3=8.715 pbc="T T T"
Cu -0.059 -3.054 -0.050
Ho 0.000 0.000 0.000
Ga -0.178 -9.162 -0.149
Dy -0.119 -6.108 -0.099

No. 10
7
Lattice="4.365 0.000 0.000 2.182 3.780 0.000 2.182 1.260 9.106" Properties=species:S:1:pos:R:3 comment="DyHo2Ga2Cu2 GGA-PBE optimized geometry" e_tot_ev_per_atom=-4.40 formation_enthalpy_0k_ev_per_atom=-0.398 rho_g_cm3=8.389 pbc="T T T"
Dy 0.000 0.000 0.000
Ho 2.182 1.260 5.718
Ho 6.547 3.780 3.388
Ga 6.547 3.780 7.192
Ga 2.182 1.260 1.914
Cu 4.365 2.520 1.780
Cu 4.365 2.520 7.325

No. 11
7
Lattice="4.361 0.000 0.000 2.181 3.777 0.000 2.181 1.259 9.154" Properties=species:S:1:pos:R:3 comment="Dy2HoGa2Cu2 GGA-PBE optimized geometry" e_tot_ev_per_atom=-4.40 formation_enthalpy_0k_ev_per_atom=-0.398 rho_g_cm3=8.332 pbc="T T T"
Dy 2.181 1.259 5.763
Dy 6.542 3.777 3.390
Ho 0.000 0.000 0.000
Ga 6.542 3.777 7.268
Ga 2.181 1.259 1.885
Cu 4.361 2.518 1.734
Cu 4.361 2.518 7.420

No. 12
10
Lattice="4.173 0.000 0.000 0.000 4.173 0.000 0.000 0.000 10.346" Properties=species:S:1:pos:R:3 comment="Dy2InGa3Cu4 GGA-PBE optimized geometry" e_tot_ev_per_atom=-4.12 formation_enthalpy_0k_ev_per_atom=-0.378 rho_g_cm3=8.325 pbc="T T T"
Dy 2.086 0.000 2.421
Dy 0.000 2.086 7.925
In 2.086 2.086 5.173
Ga 0.000 0.000 5.173
Ga 2.086 0.000 9.060
Ga 0.000 2.086 1.286
Cu 2.086 2.086 0.000
Cu 0.000 0.000 0.000
Cu 2.086 0.000 6.705
Cu 0.000 2.086 3.641

No. 13
10
Lattice="-4.002 0.331 0.995 0.493 -2.869 2.940 2.397 7.671 7.083" Properties=species:S:1:pos:R:3 comment="Dy2InGa4Cu3 GGA-PBE optimized geometry" e_tot_ev_per_atom=-4.05 formation_enthalpy_0k_ev_per_atom=-0.411 rho_g_cm3=8.236 pbc="T T T"
Dy -1.437 1.969 2.163
Dy 2.080 4.433 6.888
In -0.556 2.567 5.509
Ga -1.754 -1.269 1.967
Ga 0.000 0.000 0.000
Ga -0.429 5.197 5.144
Ga 1.071 1.205 3.907
Cu 1.198 3.835 3.542
Cu 0.094 6.871 6.689
Cu 0.548 -0.469 2.361

No. 14
10
Lattice="4.001 0.000 0.000 0.000 4.001 0.000 0.000 0.000 11.243" Properties=species:S:1:pos:R:3 comment="Dy2Ga4CuIr3 GGA-PBE optimized geometry" e_tot_ev_per_atom=-5.83 formation_enthalpy_0k_ev_per_atom=-0.633 rho_g_cm3=11.479 pbc="T T T"
Dy 2.000 0.000 2.750
Dy 0.000 2.000 8.492
Ga 2.000 2.000 0.000
Ga 0.000 0.000 0.000
Ga 2.000 0.000 7.112
Ga 0.000 2.000 4.131
Cu 2.000 2.000 5.621
Ir 0.000 0.000 5.621
Ir 2.000 0.000 9.627
Ir 0.000 2.000 1.616

No. 15
8
Lattice="-1.150 -3.923 0.873 2.733 -2.641 1.741 -2.120 0.380 8.921" Properties=species:S:1:pos:R:3 comment="DyGa4Cu2Ir GGA-PBE optimized geometry" e_tot_ev_per_atom=-4.55 formation_enthalpy_0k_ev_per_atom=-0.333 rho_g_cm3=9.429 pbc="T T T"
Dy 0.000 0.000 0.000
Ga -1.062 -2.322 8.180
Ga 0.561 -5.572 5.721
Ga -1.098 -0.611 5.814
Ga 0.525 -3.861 3.355
Cu -0.332 -4.706 8.435
Cu -0.205 -1.477 3.100
Ir -0.269 -3.092 5.768

No. 16
10
Lattice="4.044 0.000 0.000 0.000 4.044 0.000 0.000 0.000 10.587" Properties=species:S:1:pos:R:3 comment="Dy2Ga4Cu3Ir GGA-PBE optimized geometry" e_tot_ev_per_atom=-4.74 formation_enthalpy_0k_ev_per_atom=-0.497 rho_g_cm3=9.462 pbc="T T T"
Dy 2.022 0.000 2.636
Dy 0.000 2.022 7.951
Ga 2.022 2.022 0.000
Ga 0.000 0.000 0.000
Ga 2.022 0.000 6.751
Ga 0.000 2.022 3.836
Cu 0.000 0.000 5.293
Cu 2.022 0.000 9.140
Cu 0.000 2.022 1.447
Ir 2.022 2.022 5.293

No. 17
7
Lattice="-0.525 -3.427 2.810 1.300 -4.095 -1.207 8.610 -0.896 4.062" Properties=species:S:1:pos:R:3 comment="LaDy2Ga2Cu2 GGA-PBE optimized geometry" e_tot_ev_per_atom=-4.45 formation_enthalpy_0k_ev_per_atom=-0.401 rho_g_cm3=7.637 pbc="T T T"
La 0.000 0.000 0.000
Dy 5.453 -1.505 2.728
Dy 3.932 -6.913 2.936
Ga 7.205 -6.281 4.319
Ga 2.179 -2.137 1.346
Cu 2.372 -4.657 1.852
Cu 7.013 -3.761 3.812

No. 18
7
Lattice="-2.589 3.234 1.536 -4.166 0.360 -1.426 -5.099 -4.365 6.951" Properties=species:S:1:pos:R:3 comment="La2DyGa2Cu2 GGA-PBE optimized geometry" e_tot_ev_per_atom=-4.51 formation_enthalpy_0k_ev_per_atom=-0.409 rho_g_cm3=7.450 pbc="T T T"
La -4.021 -2.258 4.332
La -7.834 1.487 2.728
Dy 0.000 0.000 0.000
Ga -9.072 -0.932 5.735
Ga -2.782 0.161 1.325
Cu -4.993 1.438 1.263
Cu -6.861 -2.210 5.797

No. 19
10
Lattice="-0.844 -3.763 1.260 2.221 -1.516 -3.038 8.641 0.152 6.242" Properties=species:S:1:pos:R:3 comment="LiDy2Ga4Cu3 GGA-PBE optimized geometry" e_tot_ev_per_atom=-3.96 formation_enthalpy_0k_ev_per_atom=-0.412 rho_g_cm3=7.585 pbc="T T T"
Li 5.009 -2.563 2.232
Dy 1.661 -1.845 2.135
Dy 7.669 -0.642 3.219
Ga 0.689 -2.639 -0.889
Ga 0.000 0.000 0.000
Ga 5.111 -1.784 4.627
Ga 4.218 -0.703 0.726
Cu 4.320 0.076 3.121
Cu 7.053 -1.750 6.030
Cu 2.276 -0.737 -0.677

No. 20
5
Lattice="4.182 0.000 0.000 0.000 4.182 0.000 -2.091 -2.091 5.091" Properties=species:S:1:pos:R:3 comment="LiDyGa2Cu GGA-PBE optimized geometry" e_tot_ev_per_atom=-3.72 formation_enthalpy_0k_ev_per_atom=-0.385 rho_g_cm3=6.945 pbc="T T T"
Li 2.091 0.000 2.545
Dy 0.000 0.000 0.000
Ga 2.091 2.091 1.230
Ga 0.000 0.000 3.861
Cu 0.000 2.091 2.545